Density functional theory data (PBE) for crystalline BaNaCl at its relaxed geometry.

ΔE to the lowest computed polymorph = 0.21 eV per formula unit
ΔE_f (raw) = -1086 meV per atom
Symmetry = I4mm, No. 107
Final energy = -2.78 eV per atom

a b c (Å): 8.680 8.680 8.680
angles (deg): 152.65 152.65 39.06
Positions (direct):
1 Ba 0.000 0.000 0.000
2 Na 0.313 0.313 0.000
3 Cl 0.576 0.576 0.000

---

Density functional theory data (PBE) for crystalline Ti2Pd2Rh at its relaxed geometry.

ΔE to the lowest computed polymorph = 0.00 eV per formula unit
Energy of formation = -0.57 eV per atom
Symmetry = Cmmm, No. 65
Final energy = -7.27 eV per atom

a b c (Å): 8.087 8.087 2.941
angles (deg): 90.00 90.00 155.63
Positions (direct):
1 Ti 0.098 0.902 0.000
2 Ti 0.902 0.098 0.000
3 Pd 0.317 0.683 0.500
4 Pd 0.683 0.317 0.500
5 Rh 0.500 0.500 0.500

---

Density functional theory data (PBE) for crystalline NpMn2Al10 at its relaxed geometry.

Energy of formation = -0.22 eV per atom
Symmetry = Cmcm, No. 63
Final energy = -5.50 eV per atom

a b c (Å): 6.790 6.790 8.999
angles (deg): 90.00 90.00 97.95
Positions (direct):
1 Np 0.126 0.874 0.750
2 Np 0.874 0.126 0.250
3 Mn 0.000 0.500 0.000
4 Mn 0.000 0.500 0.500
5 Mn 0.500 0.000 0.000
6 Mn 0.500 0.000 0.500
7 Al 0.133 0.409 0.750
8 Al 0.157 0.843 0.098
9 Al 0.157 0.843 0.402
10 Al 0.218 0.477 0.250
11 Al 0.226 0.226 0.000
12 Al 0.226 0.226 0.500
13 Al 0.374 0.626 0.547
14 Al 0.374 0.626 0.953
15 Al 0.409 0.133 0.250
16 Al 0.477 0.218 0.750
17 Al 0.523 0.782 0.250
18 Al 0.591 0.867 0.750
19 Al 0.626 0.374 0.047
20 Al 0.626 0.374 0.453
21 Al 0.774 0.774 0.000
22 Al 0.774 0.774 0.500
23 Al 0.782 0.523 0.750
24 Al 0.843 0.157 0.598
25 Al 0.843 0.157 0.902
26 Al 0.867 0.591 0.250

---

Question: Among the records above, which one has the highest final energy?
Answer: BaNaCl

---

Question: What is the formula in the first record?
Answer: BaNaCl